# 1
Entry from Alexandria via LeMat-Bulk: K2PbSe2 after structural relaxation (PBE).

a = 8.502 Å, b = 8.502 Å, c = 8.502 Å
α = 149.59°, β = 149.59°, γ = 43.54°
Sites, in units of the cell vectors:
K: 0.750 0.250 0.500
K: 0.250 0.750 0.500
Se: 0.608 0.608 0.000
Se: 0.392 0.392 0.000
Pb: 0.000 0.000 0.000

Properties
**Space group**: I4/mmm (139)
**ΔE to the lowest computed polymorph**: 464 meV/atom
**Total DFT energy (no corrections)**: -3.01 eV/atom
**Formation energy without anion corrections**: -211 kJ/mol of formula units



# 2
Entry from Alexandria via LeMat-Bulk: K2PbSe after structural relaxation (PBE).

a = 7.247 Å, b = 7.247 Å, c = 7.247 Å
α = 147.34°, β = 133.38°, γ = 58.08°
Sites, in units of the cell vectors:
Pb: 0.433 0.433 0.000
Se: 0.265 0.765 0.500
K: 0.047 0.047 0.000
K: 0.755 0.255 0.500

Properties
**Space group**: Imm2 (44)
**DOS at the Fermi energy**: 2.69 states/eV per cell
**ΔE to the lowest computed polymorph**: 36 meV/atom
**Total DFT energy (no corrections)**: -2.83 eV/atom
**Formation energy without anion corrections**: -187 kJ/mol of formula units



# 3
Entry from Alexandria via LeMat-Bulk: KPbSe2 after structural relaxation (PBE).

a = 4.267 Å, b = 4.267 Å, c = 8.342 Å
α = 75.18°, β = 75.18°, γ = 60.00°
Sites, in units of the cell vectors:
K: 0.499 0.499 0.502
Se: 0.071 0.071 0.786
Se: 0.262 0.262 0.213
Pb: 0.667 0.667 0.999

Properties
**Space group**: R3m (160)
**DOS at the Fermi energy**: 3.25 states/eV per cell
**Total DFT energy (no corrections)**: -3.60 eV/atom
**Formation energy without anion corrections**: -254 kJ/mol of formula units



# 4
Entry from Alexandria via LeMat-Bulk: KPbSe2 after structural relaxation (PBE).

a = 6.438 Å, b = 6.438 Å, c = 6.438 Å
α = 139.44°, β = 139.44°, γ = 58.71°
Sites, in units of the cell vectors:
Se: 0.250 0.750 0.500
Se: 0.000 0.000 0.000
Pb: 0.750 0.250 0.500
K: 0.500 0.500 0.000

Properties
**Space group**: I-4m2 (119)
**DOS at the Fermi energy**: 2.80 states/eV per cell
**Total DFT energy (no corrections)**: -3.35 eV/atom
**Formation energy without anion corrections**: -158 kJ/mol of formula units



# 5
Entry from Alexandria via LeMat-Bulk: K3Pb5Se12 after structural relaxation (PBE).

a = 15.174 Å, b = 15.174 Å, c = 15.174 Å
α = 109.47°, β = 109.47°, γ = 109.47°
Sites, in units of the cell vectors:
Pb: 0.250 0.375 0.625
Pb: 0.500 0.500 0.000
Pb: 0.125 0.375 0.250
Pb: 0.375 0.125 0.750
Pb: 0.625 0.750 0.875
Pb: 0.000 0.500 0.000
Pb: 0.750 0.625 0.375
Pb: 0.500 0.000 0.000
Pb: 0.500 0.000 0.500
Pb: 0.875 0.250 0.625
Pb: 0.375 0.250 0.125
Pb: 0.000 0.000 0.000
Pb: 0.125 0.750 0.375
Pb: 0.000 0.000 0.500
Pb: 0.000 0.500 0.500
Pb: 0.625 0.875 0.250
Pb: 0.750 0.125 0.875
Pb: 0.250 0.875 0.125
Pb: 0.500 0.500 0.500
Pb: 0.875 0.625 0.750
Se: 0.380 0.415 0.089
Se: 0.880 0.291 0.465
Se: 0.825 0.915 0.035
Se: 0.085 0.911 0.120
Se: 0.915 0.825 0.535
Se: 0.209 0.535 0.620
Se: 0.291 0.880 0.965
Se: 0.085 0.175 0.465
Se: 0.465 0.791 0.880
Se: 0.175 0.085 0.965
Se: 0.209 0.675 0.089
Se: 0.535 0.209 0.120
Se: 0.709 0.120 0.035
Se: 0.120 0.411 0.085
Se: 0.965 0.380 0.291
Se: 0.415 0.035 0.325
Se: 0.589 0.709 0.675
Se: 0.675 0.465 0.585
Se: 0.791 0.465 0.380
Se: 0.965 0.585 0.175
Se: 0.585 0.965 0.675
Se: 0.415 0.380 0.589
Se: 0.380 0.965 0.791
Se: 0.089 0.175 0.209
Se: 0.911 0.085 0.620
Se: 0.535 0.325 0.915
Se: 0.035 0.415 0.825
Se: 0.620 0.585 0.911
Se: 0.120 0.709 0.535
Se: 0.035 0.620 0.709
Se: 0.620 0.035 0.209
Se: 0.709 0.589 0.175
Se: 0.465 0.675 0.085
Se: 0.325 0.791 0.411
Se: 0.675 0.209 0.589
Se: 0.791 0.325 0.911
Se: 0.585 0.620 0.411
Se: 0.911 0.825 0.791
Se: 0.411 0.120 0.585
Se: 0.291 0.411 0.825
Se: 0.915 0.089 0.880
Se: 0.325 0.535 0.415
Se: 0.411 0.291 0.325
Se: 0.880 0.589 0.915
Se: 0.175 0.089 0.709
Se: 0.589 0.880 0.415
Se: 0.089 0.915 0.380
Se: 0.825 0.911 0.291
K: 0.125 0.875 0.750
K: 0.750 0.375 0.125
K: 0.250 0.625 0.875
K: 0.625 0.375 0.750
K: 0.375 0.750 0.625
K: 0.625 0.250 0.375
K: 0.750 0.875 0.625
K: 0.125 0.250 0.875
K: 0.375 0.625 0.250
K: 0.250 0.125 0.375
K: 0.875 0.125 0.250
K: 0.875 0.750 0.125

Properties
**Space group**: Ia-3d (230)
**DOS at the Fermi energy**: 92.46 states/eV per cell
**Total DFT energy (no corrections)**: -3.47 eV/atom
**Formation energy without anion corrections**: -551 kJ/mol of formula units



# 6
Entry from Alexandria via LeMat-Bulk: KPbSe after structural relaxation (PBE).

a = 5.308 Å, b = 5.308 Å, c = 5.308 Å
α = 60.00°, β = 60.00°, γ = 60.00°
Sites, in units of the cell vectors:
K: 0.000 0.000 0.000
Se: 0.750 0.750 0.750
Pb: 0.500 0.500 0.500

Properties
**Space group**: F-43m (216)
**DOS at the Fermi energy**: 1.75 states/eV per cell
**ΔE to the lowest computed polymorph**: 130 meV/atom
**Total DFT energy (no corrections)**: -3.19 eV/atom
**Formation energy without anion corrections**: -123 kJ/mol of formula units



# 7
Entry from Alexandria via LeMat-Bulk: K2Pb2Se3 after structural relaxation (PBE).

a = 9.257 Å, b = 11.537 Å, c = 11.537 Å
α = 87.73°, β = 66.78°, γ = 66.78°
Sites, in units of the cell vectors:
Pb: 0.924 0.415 0.909
Pb: 0.081 0.236 0.396
Pb: 0.424 0.909 0.415
Pb: 0.581 0.396 0.236
Pb: 0.919 0.764 0.604
Pb: 0.419 0.604 0.764
Pb: 0.076 0.585 0.091
Pb: 0.576 0.091 0.585
Se: 0.280 0.013 0.224
Se: 0.780 0.224 0.013
Se: 0.720 0.593 0.141
Se: 0.280 0.407 0.859
Se: 0.295 0.723 0.565
Se: 0.705 0.277 0.435
Se: 0.795 0.565 0.723
Se: 0.720 0.987 0.776
Se: 0.220 0.776 0.987
Se: 0.220 0.141 0.593
Se: 0.205 0.435 0.277
Se: 0.780 0.859 0.407
K: 0.073 0.963 0.802
K: 0.927 0.037 0.198
K: 0.427 0.198 0.037
K: 0.573 0.802 0.963
K: 0.750 0.272 0.728
K: 0.250 0.728 0.272
K: 0.250 0.430 0.570
K: 0.750 0.570 0.430

Properties
**Space group**: C2/c (15)
**ΔE to the lowest computed polymorph**: 0 meV/atom
**Total DFT energy (no corrections)**: -3.66 eV/atom
**Formation energy without anion corrections**: -537 kJ/mol of formula units



# 8
Entry from Alexandria via LeMat-Bulk: K2PbSe after structural relaxation (PBE).

a = 9.758 Å, b = 9.758 Å, c = 7.593 Å
α = 50.01°, β = 50.01°, γ = 90.00°
Sites, in units of the cell vectors:
Se: 0.250 0.750 0.500
Se: 0.500 0.500 0.000
K: 0.875 0.810 0.750
K: 0.375 0.440 0.750
K: 0.560 0.125 0.250
K: 0.190 0.625 0.250
Pb: 0.000 0.000 0.000
Pb: 0.750 0.250 0.500

Properties
**Space group**: I-42d (122)
**DOS at the Fermi energy**: 5.86 states/eV per cell
**ΔE to the lowest computed polymorph**: 141 meV/atom
**Total DFT energy (no corrections)**: -2.73 eV/atom
**Formation energy without anion corrections**: -147 kJ/mol of formula units



# 9
Entry from Alexandria via LeMat-Bulk: KPb4Se after structural relaxation (PBE).

a = 6.540 Å, b = 6.540 Å, c = 6.540 Å
α = 60.00°, β = 60.00°, γ = 60.00°
Sites, in units of the cell vectors:
Pb: 0.125 0.625 0.625
Pb: 0.625 0.125 0.625
Pb: 0.625 0.625 0.625
Pb: 0.625 0.625 0.125
K: 0.000 0.000 0.000
Se: 0.250 0.250 0.250

Properties
**Space group**: F-43m (216)
**DOS at the Fermi energy**: 4.13 states/eV per cell
**Total DFT energy (no corrections)**: -3.21 eV/atom
**Formation energy without anion corrections**: 17 kJ/mol of formula units



# 10
Entry from Alexandria via LeMat-Bulk: KPbSe4 after structural relaxation (PBE).

a = 6.024 Å, b = 6.024 Å, c = 6.024 Å
α = 60.00°, β = 60.00°, γ = 60.00°
Sites, in units of the cell vectors:
Se: 0.374 0.877 0.374
Se: 0.374 0.374 0.877
Se: 0.877 0.374 0.374
Se: 0.374 0.374 0.374
Pb: 0.000 0.000 0.000
K: 0.750 0.750 0.750

Properties
**Space group**: F-43m (216)
**DOS at the Fermi energy**: 5.26 states/eV per cell
**Total DFT energy (no corrections)**: -3.15 eV/atom
**Formation energy without anion corrections**: -12 kJ/mol of formula units



# 11
Entry from Alexandria via LeMat-Bulk: KPbSe2 after structural relaxation (PBE).

a = 6.466 Å, b = 6.466 Å, c = 5.841 Å
α = 88.53°, β = 88.53°, γ = 30.78°
Sites, in units of the cell vectors:
Pb: 0.244 0.244 0.070
K: 0.490 0.490 0.623
Se: 0.752 0.752 0.682
Se: 0.013 0.013 0.125

Properties
**Space group**: Cm (8)
**DOS at the Fermi energy**: 0.53 states/eV per cell
**Total DFT energy (no corrections)**: -3.50 eV/atom
**Formation energy without anion corrections**: -215 kJ/mol of formula units



What did the fifth record say?
Entry from Alexandria via LeMat-Bulk: K3Pb5Se12 after structural relaxation (PBE).

a = 15.174 Å, b = 15.174 Å, c = 15.174 Å
α = 109.47°, β = 109.47°, γ = 109.47°
Sites, in units of the cell vectors:
Pb: 0.250 0.375 0.625
Pb: 0.500 0.500 0.000
Pb: 0.125 0.375 0.250
Pb: 0.375 0.125 0.750
Pb: 0.625 0.750 0.875
Pb: 0.000 0.500 0.000
Pb: 0.750 0.625 0.375
Pb: 0.500 0.000 0.000
Pb: 0.500 0.000 0.500
Pb: 0.875 0.250 0.625
Pb: 0.375 0.250 0.125
Pb: 0.000 0.000 0.000
Pb: 0.125 0.750 0.375
Pb: 0.000 0.000 0.500
Pb: 0.000 0.500 0.500
Pb: 0.625 0.875 0.250
Pb: 0.750 0.125 0.875
Pb: 0.250 0.875 0.125
Pb: 0.500 0.500 0.500
Pb: 0.875 0.625 0.750
Se: 0.380 0.415 0.089
Se: 0.880 0.291 0.465
Se: 0.825 0.915 0.035
Se: 0.085 0.911 0.120
Se: 0.915 0.825 0.535
Se: 0.209 0.535 0.620
Se: 0.291 0.880 0.965
Se: 0.085 0.175 0.465
Se: 0.465 0.791 0.880
Se: 0.175 0.085 0.965
Se: 0.209 0.675 0.089
Se: 0.535 0.209 0.120
Se: 0.709 0.120 0.035
Se: 0.120 0.411 0.085
Se: 0.965 0.380 0.291
Se: 0.415 0.035 0.325
Se: 0.589 0.709 0.675
Se: 0.675 0.465 0.585
Se: 0.791 0.465 0.380
Se: 0.965 0.585 0.175
Se: 0.585 0.965 0.675
Se: 0.415 0.380 0.589
Se: 0.380 0.965 0.791
Se: 0.089 0.175 0.209
Se: 0.911 0.085 0.620
Se: 0.535 0.325 0.915
Se: 0.035 0.415 0.825
Se: 0.620 0.585 0.911
Se: 0.120 0.709 0.535
Se: 0.035 0.620 0.709
Se: 0.620 0.035 0.209
Se: 0.709 0.589 0.175
Se: 0.465 0.675 0.085
Se: 0.325 0.791 0.411
Se: 0.675 0.209 0.589
Se: 0.791 0.325 0.911
Se: 0.585 0.620 0.411
Se: 0.911 0.825 0.791
Se: 0.411 0.120 0.585
Se: 0.291 0.411 0.825
Se: 0.915 0.089 0.880
Se: 0.325 0.535 0.415
Se: 0.411 0.291 0.325
Se: 0.880 0.589 0.915
Se: 0.175 0.089 0.709
Se: 0.589 0.880 0.415
Se: 0.089 0.915 0.380
Se: 0.825 0.911 0.291
K: 0.125 0.875 0.750
K: 0.750 0.375 0.125
K: 0.250 0.625 0.875
K: 0.625 0.375 0.750
K: 0.375 0.750 0.625
K: 0.625 0.250 0.375
K: 0.750 0.875 0.625
K: 0.125 0.250 0.875
K: 0.375 0.625 0.250
K: 0.250 0.125 0.375
K: 0.875 0.125 0.250
K: 0.875 0.750 0.125

Properties
**Space group**: Ia-3d (230)
**DOS at the Fermi energy**: 92.46 states/eV per cell
**Total DFT energy (no corrections)**: -3.47 eV/atom
**Formation energy without anion corrections**: -551 kJ/mol of formula units